Compound: AlCo2W
Source: Alexandria
Functional: meta-GGA SCAN
Structure: PBEsol geometry

a b c (Å): 3.5474 3.5474 7.7556
angles (deg): 90.00 90.00 90.00
With the nearest neighbours (Å) after each atom.
Space group I-4m2 (No. 119)
Asymmetric unit:
Al  0.0000  0.0000  0.0000 x2  8 Co 2.51-2.63, 4 W 2.63
Co  0.0000  0.0000  0.5000 x2  4 Al 2.51, 4 W 2.63, 4 Co 2.63
Co  0.0000  0.5000  0.2500 x2  4 W 2.51, 4 Co 2.63, 4 Al 2.63
W  0.0000  0.5000  0.7500 x2  8 Co 2.51-2.63, 4 Al 2.63

ΔH_f (0 K) = 0.004 eV per atom
Theoretical density = 11.2 g/cm³
Size of the total moment = 0.000 μB per formula unit